1.
DFT (GGA-PBE) results for AsHPb2S4 after structural relaxation. Values from VASP.

```
&SYSTEM
  ibrav = 0, nat = 16, ntyp = 4
/
ATOMIC_SPECIES
As 74.92 As.upf
H 1.01 H.upf
Pb 207.20 Pb.upf
S 32.06 S.upf
ATOMIC_POSITIONS angstrom
As 0.000 0.000 0.000
As -2.447 0.000 2.866
H 2.617 2.919 0.000
H 0.170 -2.919 2.866
Pb 0.170 2.919 2.866
Pb 2.617 -2.919 0.000
Pb 5.234 0.000 0.000
Pb 2.786 0.000 2.866
S -0.529 3.008 5.663
S 0.023 0.092 2.610
S -2.424 -0.092 5.476
S 3.655 3.008 2.935
S 1.918 -3.008 2.797
S 7.997 0.092 0.256
S 5.550 -0.092 3.122
S 6.102 -3.008 0.069
CELL_PARAMETERS angstrom
5.234 -5.838 0.000
5.234 5.838 0.000
-4.895 0.000 5.732
```

Calculated values
DFT total energy: -63.592 eV per cell

=====

2.
DFT (GGA-PBE) results for Cr2CoSiH after structural relaxation. Values from VASP.

```
&SYSTEM
  ibrav = 0, nat = 5, ntyp = 4
/
ATOMIC_SPECIES
Cr 52.00 Cr.upf
Co 58.93 Co.upf
Si 28.09 Si.upf
H 1.01 H.upf
ATOMIC_POSITIONS angstrom
Cr 0.000 2.285 0.000
Cr 2.285 0.000 0.000
Co 0.000 0.000 0.000
Si 0.000 0.000 2.074
H 2.285 2.285 2.074
CELL_PARAMETERS angstrom
4.570 0.000 0.000
0.000 4.570 0.000
0.000 0.000 4.148
```

Calculated values
Energy above the most stable polymorph in this dataset: 1266 meV/atom

=====

3.
DFT (GGA-PBE) results for K3Ce2NpS6 after structural relaxation. Values from VASP.

```
&SYSTEM
  ibrav = 0, nat = 12, ntyp = 4
/
ATOMIC_SPECIES
K 39.10 K.upf
Ce 140.12 Ce.upf
Np 237.00 Np.upf
S 32.06 S.upf
ATOMIC_POSITIONS angstrom
K 0.000 0.000 0.000
K 3.610 2.093 0.000
K 3.610 -2.093 0.000
Ce 2.406 4.170 3.683
Ce 2.406 -4.170 3.683
Np 2.406 0.000 3.683
S 1.220 2.055 2.178
S 0.034 0.000 5.189
S 1.220 -2.055 2.178
S 3.593 2.055 5.189
S 4.779 0.000 2.178
S 3.593 -2.055 5.189
CELL_PARAMETERS angstrom
3.610 -6.253 0.000
3.610 6.253 0.000
-2.408 0.000 7.367
```

Calculated values
Formation energy (no corrections): -1.658 eV/atom

=====

4.
DFT (GGA-PBE) results for Ca4Cd2Pb after structural relaxation. Values from VASP.

```
&SYSTEM
  ibrav = 0, nat = 7, ntyp = 3
/
ATOMIC_SPECIES
Ca 40.08 Ca.upf
Cd 112.41 Cd.upf
Pb 207.20 Pb.upf
ATOMIC_POSITIONS angstrom
Ca 0.000 0.000 3.305
Ca 0.000 0.000 10.075
Ca 0.000 0.000 16.892
Ca 0.000 0.000 23.662
Cd 0.000 0.000 6.752
Cd 0.000 0.000 20.215
Pb 0.000 0.000 13.483
CELL_PARAMETERS angstrom
2.701 1.559 8.989
-2.701 1.559 8.989
0.000 -3.118 8.989
```

Calculated values
DFT total energy: -15.772 eV per cell

=====

5.
DFT (GGA-PBE) results for TlCr2Ir after structural relaxation. Values from VASP.

```
&SYSTEM
  ibrav = 0, nat = 4, ntyp = 3
/
ATOMIC_SPECIES
Tl 204.38 Tl.upf
Cr 52.00 Cr.upf
Ir 192.22 Ir.upf
ATOMIC_POSITIONS angstrom
Tl 0.000 0.000 0.000
Cr 1.481 1.481 2.198
Cr 1.481 1.481 5.460
Ir 0.000 0.000 3.829
CELL_PARAMETERS angstrom
2.961 0.000 0.000
0.000 2.961 0.000
0.000 0.000 7.658
```

Calculated values
Energy above the most stable polymorph in this dataset: 12 meV/atom

=====

6.
DFT (GGA-PBE) results for NaSnW3 after structural relaxation. Values from VASP.

```
&SYSTEM
  ibrav = 0, nat = 5, ntyp = 3
/
ATOMIC_SPECIES
Na 22.99 Na.upf
Sn 118.71 Sn.upf
W 183.84 W.upf
ATOMIC_POSITIONS angstrom
Na 0.000 0.000 0.000
Sn 2.495 2.495 2.495
W 0.000 2.495 2.495
W 2.495 0.000 2.495
W 2.495 2.495 0.000
CELL_PARAMETERS angstrom
4.990 0.000 0.000
0.000 4.990 0.000
0.000 0.000 4.990
```

Calculated values
Energy above the most stable polymorph in this dataset: 0 meV/atom

=====

7.
DFT (GGA-PBE) results for Co2WCl after structural relaxation. Values from VASP.

```
&SYSTEM
  ibrav = 0, nat = 4, ntyp = 3
/
ATOMIC_SPECIES
Co 58.93 Co.upf
W 183.84 W.upf
Cl 35.45 Cl.upf
ATOMIC_POSITIONS angstrom
Co 1.209 2.064 0.000
Co 1.209 -2.064 0.000
W 0.000 0.000 1.379
Cl 2.419 0.000 1.379
CELL_PARAMETERS angstrom
2.419 -4.128 0.000
2.419 4.128 0.000
0.000 0.000 2.759
```

Calculated values
Formation energy (no corrections): 0.781 eV/atom
Energy above the most stable polymorph in this dataset: 502 meV/atom

=====

8.
DFT (GGA-PBE) results for BaInHg3 after structural relaxation. Values from VASP.

```
&SYSTEM
  ibrav = 0, nat = 5, ntyp = 3
/
ATOMIC_SPECIES
Ba 137.33 Ba.upf
In 114.82 In.upf
Hg 200.59 Hg.upf
ATOMIC_POSITIONS angstrom
Ba 0.000 0.000 0.000
In 3.191 3.191 3.191
Hg 0.000 0.000 3.191
Hg 0.000 3.191 0.000
Hg 3.191 0.000 0.000
CELL_PARAMETERS angstrom
6.383 0.000 0.000
0.000 6.383 0.000
0.000 0.000 6.383
```

Calculated values
Energy above the most stable polymorph in this dataset: 680 meV/atom

=====

Let's list theoretical density in order: 5865, 3681, 4128, 4331, 12381, 9262, 10162, 5453 kg/m3.
Let's list magnetization in order: 0.00, 6.72, 6.00, 0.00, 6.21, 0.00, 3.14, 0.00 μB per cell.